Record 1
Computed, not measured: crystalline CuNi3Sn6 at its relaxed geometry at the PBE level of DFT.

Cell: 6.8462 6.3195 10.9745 Å, 90.00 123.29 90.00°
Fractional positions:
Cu 0.0000 0.0000 0.0000
Cu 0.0000 0.5000 0.5000
Ni 0.3088 0.1881 0.7903
Ni 0.3088 0.3119 0.2903
Ni 0.5000 0.0000 0.5000
Ni 0.5000 0.5000 0.0000
Ni 0.6912 0.6881 0.7097
Ni 0.6912 0.8119 0.2097
Sn 0.0820 0.5330 0.7670
Sn 0.0820 0.9670 0.2670
Sn 0.2590 0.6334 0.1045
Sn 0.2590 0.8666 0.6045
Sn 0.4028 0.1483 0.0709
Sn 0.4028 0.3517 0.5709
Sn 0.5972 0.6483 0.4291
Sn 0.5972 0.8517 0.9291
Sn 0.7410 0.1334 0.3955
Sn 0.7410 0.3666 0.8955
Sn 0.9180 0.0330 0.7330
Sn 0.9180 0.4670 0.2330

=====

Record 2
Computed, not measured: crystalline CuNi2Sn2 at its relaxed geometry at the PBE level of DFT.

Cell: 7.3200 7.3200 3.0508 Å, 90.00 90.00 90.00°
Fractional positions:
Cu 0.0000 0.0000 0.0000
Cu 0.5000 0.5000 0.0000
Ni 0.1283 0.3717 0.5000
Ni 0.3717 0.8717 0.5000
Ni 0.6283 0.1283 0.5000
Ni 0.8717 0.6283 0.5000
Sn 0.1671 0.6671 0.0000
Sn 0.3329 0.1671 0.0000
Sn 0.6671 0.8329 0.0000
Sn 0.8329 0.3329 0.0000

* energy above the lowest structure with this stoichiometry: 0.61 eV per formula unit

=====

Record 3
Computed, not measured: crystalline Cu2NiSn at its relaxed geometry at the PBE level of DFT.

Cell: 9.5332 9.5332 9.5332 Å, 157.88 157.88 31.48°
Fractional positions:
Cu 0.1052 0.6250 0.9802
Cu 0.3750 0.3552 0.4802
Cu 0.6448 0.1250 0.0198
Cu 0.8750 0.8948 0.5198
Ni 0.0000 0.0000 0.0000
Ni 0.7500 0.2500 0.5000
Sn 0.2500 0.7500 0.5000
Sn 0.5000 0.5000 0.0000

=====

Record 4
Computed, not measured: crystalline CuNi15Sn4 at its relaxed geometry at the PBE level of DFT.

Cell: 3.7147 3.7147 18.3035 Å, 90.00 90.00 90.00°
Fractional positions:
Cu 0.0000 0.0000 0.0000
Ni 0.0000 0.5000 0.0904
Ni 0.0000 0.5000 0.2951
Ni 0.0000 0.5000 0.5000
Ni 0.0000 0.5000 0.7049
Ni 0.0000 0.5000 0.9096
Ni 0.5000 0.0000 0.0904
Ni 0.5000 0.0000 0.2951
Ni 0.5000 0.0000 0.5000
Ni 0.5000 0.0000 0.7049
Ni 0.5000 0.0000 0.9096
Ni 0.5000 0.5000 0.0000
Ni 0.5000 0.5000 0.1945
Ni 0.5000 0.5000 0.3980
Ni 0.5000 0.5000 0.6020
Ni 0.5000 0.5000 0.8055
Sn 0.0000 0.0000 0.1918
Sn 0.0000 0.0000 0.3974
Sn 0.0000 0.0000 0.6026
Sn 0.0000 0.0000 0.8082

=====

Record 5
Computed, not measured: crystalline CuNi3Sn at its relaxed geometry at the PBE level of DFT.

Cell: 5.9722 5.9722 4.5582 Å, 90.00 90.00 120.00°
Fractional positions:
Cu 0.0000 0.0000 0.0000
Cu 0.0000 0.0000 0.5000
Ni 0.1992 0.3985 0.2500
Ni 0.1992 0.8008 0.2500
Ni 0.3985 0.1992 0.7500
Ni 0.6015 0.8008 0.2500
Ni 0.8008 0.1992 0.7500
Ni 0.8008 0.6015 0.7500
Sn 0.3333 0.6667 0.7500
Sn 0.6667 0.3333 0.2500

* energy above the lowest structure with this stoichiometry: 0.00 eV per formula unit

=====

Record 6
Computed, not measured: crystalline TbCuNiSn at its relaxed geometry at the PBE level of DFT.

Cell: 4.6436 4.6436 4.6436 Å, 60.00 60.00 60.00°
Fractional positions:
Tb 0.0000 0.0000 0.0000
Cu 0.2500 0.2500 0.2500
Ni 0.7500 0.7500 0.7500
Sn 0.5000 0.5000 0.5000

=====

Record 7
Computed, not measured: crystalline CuTc2NiSn at its relaxed geometry at the PBE level of DFT.

Cell: 4.5548 4.5548 4.3061 Å, 90.00 90.00 90.00°
Fractional positions:
Cu 0.0000 0.0000 0.0000
Tc 0.0000 0.5000 0.0000
Tc 0.5000 0.0000 0.0000
Ni 0.0000 0.0000 0.5000
Sn 0.5000 0.5000 0.5000

=====

Record 8
Computed, not measured: crystalline ThCuNi4Sn2 at its relaxed geometry at the PBE level of DFT.

Cell: 8.7889 8.7889 8.7889 Å, 27.97 27.97 27.97°
Fractional positions:
Th 0.0000 0.0000 0.0000
Cu 0.5000 0.5000 0.5000
Ni 0.1333 0.1333 0.1333
Ni 0.4013 0.4013 0.4013
Ni 0.5987 0.5987 0.5987
Ni 0.8667 0.8667 0.8667
Sn 0.2372 0.2372 0.2372
Sn 0.7628 0.7628 0.7628

=====

Record 9
Computed, not measured: crystalline TmCuNiSn at its relaxed geometry at the PBE level of DFT.

Cell: 4.5926 4.5926 4.5926 Å, 60.00 60.00 60.00°
Fractional positions:
Tm 0.0000 0.0000 0.0000
Cu 0.7500 0.7500 0.7500
Ni 0.2500 0.2500 0.2500
Sn 0.5000 0.5000 0.5000

=====

Record 10
Computed, not measured: crystalline VCuNiSn at its relaxed geometry at the PBE level of DFT.

Cell: 4.3377 4.3377 4.3377 Å, 60.00 60.00 60.00°
Fractional positions:
V 0.0000 0.0000 0.0000
Cu 0.2500 0.2500 0.2500
Ni 0.7500 0.7500 0.7500
Sn 0.5000 0.5000 0.5000

=====

Record 11
Computed, not measured: crystalline Y2Cu12Ni3Sn at its relaxed geometry at the PBE level of DFT.

Cell: 6.4445 6.4445 6.4445 Å, 83.54 83.54 83.54°
Fractional positions:
Y 0.2416 0.2416 0.2416
Y 0.7584 0.7584 0.7584
Cu 0.0777 0.0777 0.6471
Cu 0.0777 0.6471 0.0777
Cu 0.2090 0.7046 0.7046
Cu 0.2954 0.2954 0.7910
Cu 0.2954 0.7910 0.2954
Cu 0.3529 0.9223 0.9223
Cu 0.6471 0.0777 0.0777
Cu 0.7046 0.2090 0.7046
Cu 0.7046 0.7046 0.2090
Cu 0.7910 0.2954 0.2954
Cu 0.9223 0.3529 0.9223
Cu 0.9223 0.9223 0.3529
Ni 0.0000 0.5000 0.5000
Ni 0.5000 0.0000 0.5000
Ni 0.5000 0.5000 0.0000
Sn 0.5000 0.5000 0.5000

=====

Record 12
Computed, not measured: crystalline ZnCuNiSn2 at its relaxed geometry at the PBE level of DFT.

Cell: 5.0641 5.0641 4.4445 Å, 90.00 90.00 90.00°
Fractional positions:
Zn 0.0000 0.0000 0.0000
Cu 0.5000 0.5000 0.5000
Ni 0.0000 0.0000 0.5000
Sn 0.0000 0.5000 0.0000
Sn 0.5000 0.0000 0.0000

=====

Record 13
Computed, not measured: crystalline SrCu3Ni2 at its relaxed geometry at the PBE level of DFT.

Cell: 6.3411 6.3411 4.9384 Å, 90.00 90.00 78.74°
Fractional positions:
Sr 0.1794 0.8206 0.7500
Sr 0.8206 0.1794 0.2500
Cu 0.0360 0.5649 0.2500
Cu 0.4337 0.5663 0.2500
Cu 0.4351 0.9640 0.2500
Cu 0.5649 0.0360 0.7500
Cu 0.5663 0.4337 0.7500
Cu 0.9640 0.4351 0.7500
Ni 0.2896 0.2896 0.0000
Ni 0.2896 0.2896 0.5000
Ni 0.7104 0.7104 0.0000
Ni 0.7104 0.7104 0.5000

=====

Record 14
Computed, not measured: crystalline Sr2Cu3Ni at its relaxed geometry at the PBE level of DFT.

Cell: 8.4766 8.4568 5.9926 Å, 69.45 69.10 41.45°
Fractional positions:
Sr 0.2486 0.7514 0.2486
Sr 0.2500 0.2500 0.2500
Sr 0.7500 0.7500 0.7500
Sr 0.7514 0.2486 0.7514
Cu 0.1624 0.6691 0.8376
Cu 0.3307 0.3307 0.6693
Cu 0.3309 0.8376 0.6691
Cu 0.6691 0.1624 0.3309
Cu 0.6693 0.6693 0.3307
Cu 0.8376 0.3309 0.1624
Ni 0.1663 0.1663 0.8337
Ni 0.8337 0.8337 0.1663

=====

Record 15
Computed, not measured: crystalline Sr2CuNi at its relaxed geometry at the PBE level of DFT.

Cell: 6.0878 6.0878 4.3422 Å, 90.04 90.04 42.45°
Fractional positions:
Sr 0.0000 0.0000 0.0000
Sr 0.7204 0.7204 0.4997
Cu 0.4117 0.4117 0.5011
Ni 0.3106 0.3106 0.0003

=====

Record 16
Computed, not measured: crystalline SrCuNi at its relaxed geometry at the PBE level of DFT.

Cell: 4.1379 4.1379 4.3305 Å, 90.00 90.00 120.00°
Fractional positions:
Sr 0.0000 0.0000 0.0000
Cu 0.3333 0.6667 0.5000
Ni 0.6667 0.3333 0.5000

* energy above the lowest structure with this stoichiometry: 0.00 eV per formula unit

=====

Record 17
Computed, not measured: crystalline Sr6CuNi at its relaxed geometry at the PBE level of DFT.

Cell: 7.4277 7.4277 14.2513 Å, 90.00 90.00 120.00°
Fractional positions:
Sr 0.0020 0.3250 0.1222
Sr 0.0020 0.6769 0.3778
Sr 0.3231 0.3250 0.3778
Sr 0.3231 0.9980 0.1222
Sr 0.3250 0.0020 0.6222
Sr 0.3250 0.3231 0.8778
Sr 0.6750 0.6769 0.1222
Sr 0.6750 0.9980 0.3778
Sr 0.6769 0.0020 0.8778
Sr 0.6769 0.6750 0.6222
Sr 0.9980 0.3231 0.6222
Sr 0.9980 0.6750 0.8778
Cu 0.3333 0.6667 0.2500
Cu 0.6667 0.3333 0.7500
Ni 0.0000 0.0000 0.0000
Ni 0.0000 0.0000 0.5000

=====

Record 18
Computed, not measured: crystalline Sr2Cu12Ni5 at its relaxed geometry at the PBE level of DFT.

Cell: 6.4899 6.4899 6.4899 Å, 83.11 83.11 83.11°
Fractional positions:
Sr 0.1599 0.1599 0.1599
Sr 0.8401 0.8401 0.8401
Cu 0.1611 0.1611 0.6461
Cu 0.1611 0.6461 0.1611
Cu 0.2138 0.5000 0.7862
Cu 0.2138 0.7862 0.5000
Cu 0.3539 0.8389 0.8389
Cu 0.5000 0.2138 0.7862
Cu 0.5000 0.7862 0.2138
Cu 0.6461 0.1611 0.1611
Cu 0.7862 0.2138 0.5000
Cu 0.7862 0.5000 0.2138
Cu 0.8389 0.3539 0.8389
Cu 0.8389 0.8389 0.3539
Ni 0.0000 0.5000 0.5000
Ni 0.4042 0.4042 0.4042
Ni 0.5000 0.0000 0.5000
Ni 0.5000 0.5000 0.0000
Ni 0.5958 0.5958 0.5958

=====

Record 19
Computed, not measured: crystalline Sr2CuNi at its relaxed geometry at the PBE level of DFT.

Cell: 6.6652 6.6652 6.6652 Å, 106.35 106.35 115.91°
Fractional positions:
Sr 0.1094 0.6250 0.9844
Sr 0.3750 0.3594 0.4844
Sr 0.6406 0.1250 0.0156
Sr 0.8750 0.8906 0.5156
Cu 0.2500 0.7500 0.5000
Cu 0.5000 0.5000 0.0000
Ni 0.0000 0.0000 0.0000
Ni 0.7500 0.2500 0.5000

=====

Record 20
Computed, not measured: crystalline SrCuNi at its relaxed geometry at the PBE level of DFT.

Cell: 4.5655 4.5655 4.5655 Å, 60.00 60.00 60.00°
Fractional positions:
Sr 0.0000 0.0000 0.0000
Cu 0.5000 0.5000 0.5000
Ni 0.2500 0.2500 0.2500

* energy above the lowest structure with this stoichiometry: 1.02 eV per formula unit

=====

Number 1: raw total energy -4.61 eV/atom. Number 2: raw total energy -4.65 eV/atom. Number 3: raw total energy -4.29 eV/atom. Number 4: raw total energy -5.47 eV/atom. Number 5: raw total energy -4.90 eV/atom. Number 6: raw total energy -5.06 eV/atom. Number 7: raw total energy -5.75 eV/atom. Number 8: raw total energy -5.63 eV/atom. Number 9: raw total energy -5.03 eV/atom. Number 10: raw total energy -5.73 eV/atom. Number 11: raw total energy -4.59 eV/atom. Number 12: raw total energy -3.07 eV/atom. Number 13: raw total energy -4.31 eV/atom. Number 14: raw total energy -3.62 eV/atom. Number 15: raw total energy -3.36 eV/atom. Number 16: raw total energy -3.87 eV/atom. Number 17: raw total energy -2.52 eV/atom. Number 18: raw total energy -4.33 eV/atom. Number 19: raw total energy -2.95 eV/atom. Number 20: raw total energy -3.52 eV/atom.